(1)
# Hf3TaCd

Hf3TaCd after structural relaxation (PBE, Alexandria via LeMat-Bulk).

a b c (Å): 5.080 5.080 5.080
angles (deg): 90.00 90.00 90.00
Element x y z (fractional)
Hf  0.000  0.000  0.500
Hf  0.000  0.500  0.000
Hf  0.500  0.000  0.000
Ta  0.500  0.500  0.500
Cd  0.000  0.000  0.000

Offset from the most stable computed form: 0.588 eV per atom
DFT total energy: -6.908 eV/atom
ΔH_f (0 K): 37.31 kcal/mol of atoms

(2)
# ReSb2TeP

ReSb2TeP after structural relaxation (PBE, Alexandria via LeMat-Bulk).

a b c (Å): 5.054 5.054 5.138
angles (deg): 90.00 90.00 90.00
Element x y z (fractional)
Re  0.000  0.000  0.000
Sb  0.000  0.500  0.500
Sb  0.500  0.000  0.500
Te  0.500  0.500  0.000
P  0.500  0.500  0.500

Formation energy from raw total energies: 1447 meV/atom
Offset from the most stable computed form: 0.510 eV per atom
DFT total energy: -4.402 eV/atom

(3)
# Er4Bi3N

Er4Bi3N after structural relaxation (PBE, Alexandria via LeMat-Bulk).

a b c (Å): 9.685 8.577 6.254
angles (deg): 90.00 90.00 90.00
Element x y z (fractional)
Er  0.000  0.086  0.000
Er  0.000  0.820  0.571
Er  0.201  0.700  0.003
Er  0.299  0.300  0.503
Er  0.500  0.180  0.071
Er  0.500  0.914  0.500
Er  0.701  0.300  0.503
Er  0.799  0.700  0.003
Bi  0.000  0.162  0.489
Bi  0.231  0.340  0.991
Bi  0.269  0.660  0.491
Bi  0.500  0.838  0.989
Bi  0.731  0.660  0.491
Bi  0.769  0.340  0.991
N  0.000  0.824  0.927
N  0.500  0.176  0.427

Formation energy from raw total energies: -768 meV/atom
DFT total energy: -5.545 eV/atom

(4)
# CsRb2BaNa

CsRb2BaNa after structural relaxation (PBE, Alexandria via LeMat-Bulk).

a b c (Å): 7.540 7.540 7.562
angles (deg): 90.00 90.00 90.00
Element x y z (fractional)
Cs  0.000  0.000  0.000
Rb  0.000  0.500  0.500
Rb  0.500  0.000  0.500
Ba  0.500  0.500  0.000
Na  0.500  0.500  0.500

DFT total energy: -1.038 eV/atom
ΔH_f (0 K): 3.87 kcal/mol of atoms

Going through the records in order, we get density of states at the Fermi level values of 2.28 0.70 0.04 1.17 states/eV/atom.